Record 1
VASP calculation (PBE-GGA) on ScCd3Ge after structural relaxation.

a = 5.143 Å, b = 5.143 Å, c = 5.143 Å
α = 90.00°, β = 90.00°, γ = 90.00°
Positions (direct):
Ge  0.000  0.000  0.000
Cd  0.000  0.000  0.500
Cd  0.000  0.500  0.000
Cd  0.500  0.000  0.000
Sc  0.500  0.500  0.500

## Properties
The energy above the most stable polymorph in this dataset comes out at 0 meV per atom. The space group is Pm-3m. Its density is 5.55 g/cm3. For the energy relative to the elements, the calculation gives 216 kJ/mol of formula units.

***

Record 2
VASP calculation (PBE-GGA) on ScCd3Ge after structural relaxation.

a = 5.459 Å, b = 5.459 Å, c = 5.459 Å
α = 90.00°, β = 90.00°, γ = 90.00°
Positions (direct):
Sc  0.000  0.000  0.000
Ge  0.500  0.500  0.500
Cd  0.500  0.000  0.000
Cd  0.000  0.500  0.000
Cd  0.000  0.000  0.500

## Properties
The energy above the most stable polymorph in this dataset comes out at 410 meV per atom. The space group is Pm-3m. Its density is 4.64 g/cm3. For the energy relative to the elements, the calculation gives 414 kJ/mol of formula units.

***

Record 3
VASP calculation (PBE-GGA) on Sc2CdGe after structural relaxation.

a = 9.322 Å, b = 9.322 Å, c = 9.322 Å
α = 23.64°, β = 23.64°, γ = 23.64°
Positions (direct):
Cd  0.000  0.000  0.000
Sc  0.113  0.113  0.113
Sc  0.887  0.887  0.887
Ge  0.500  0.500  0.500

## Properties
The space group is R-3m. Its density is 3.99 g/cm3. For the energy relative to the elements, the calculation gives -19 kJ/mol of formula units.

***

Record 4
VASP calculation (PBE-GGA) on Sc2CdGe after structural relaxation.

a = 3.873 Å, b = 4.580 Å, c = 4.580 Å
α = 90.00°, β = 90.00°, γ = 90.00°
Positions (direct):
Cd  0.500  0.500  0.500
Ge  0.500  0.000  0.000
Sc  0.000  0.500  0.000
Sc  0.000  0.000  0.500

## Properties
The space group is P4/mmm. Its density is 5.62 g/cm3. For the energy relative to the elements, the calculation gives -179 kJ/mol of formula units.

***

Record 5
VASP calculation (PBE-GGA) on Sc2CdGeSe after structural relaxation.

a = 4.994 Å, b = 5.105 Å, c = 4.994 Å
α = 90.00°, β = 90.00°, γ = 90.00°
Positions (direct):
Cd  0.000  0.500  0.000
Sc  0.000  0.000  0.500
Sc  0.500  0.000  0.000
Se  0.000  0.000  0.000
Ge  0.500  0.500  0.500

## Properties
The calculation puts the formation energy (no corrections) at -0.12 eV per atom. The space group is P4/mmm. Its density is 4.62 g/cm3.

***

Record 6
VASP calculation (PBE-GGA) on SmScCdGe after structural relaxation.

a = 5.061 Å, b = 5.061 Å, c = 5.061 Å
α = 60.00°, β = 60.00°, γ = 60.00°
Positions (direct):
Sm  0.500  0.500  0.500
Cd  0.250  0.250  0.250
Ge  0.750  0.750  0.750
Sc  0.000  0.000  0.000

## Properties
The space group is F-43m. Its density is 6.89 g/cm3. For the energy relative to the elements, the calculation gives -171 kJ/mol of formula units.

***

These records have total magnetization values of 0.00, 0.00, 0.00, 0.00, 0.00, 0.00 μB per cell, in the order they appear.